Record 1
Entry from Alexandria: crystalline CsAcU2O7 at its relaxed geometry (GGA-PBE).

Values from the calculation:
V = 19.722 A^3/atom
size of the total moment = 2.00 μB per cell
uncorrected formation energy = -3.091 eV per atom
VASP energy = -96.243 eV/cell

Unit cell a=4.335 b=4.335 c=11.546 alpha=90.00 beta=90.00 gamma=90.00
Space group P4/mmm (No. 123)
Unique sites:
Cs: 0.000 0.000 0.000
Ac: 0.000 0.000 0.500
U: 0.500 0.500 0.309
O: 0.000 0.500 0.352
O: 0.500 0.500 0.142
O: 0.500 0.500 0.500

---

Record 2
Entry from Alexandria: crystalline Cs2AcU3O12 at its relaxed geometry (GGA-PBE).

Values from the calculation:
V = 20.884 A^3/atom
size of the total moment = 0.00 μB per cell
uncorrected formation energy = -2.901 eV per atom
VASP energy = -454.180 eV/cell

Unit cell a=8.2221 b=8.2221 c=19.2628 alpha=90.00 beta=90.00 gamma=120.00
Space group R-3m (No. 166, hexagonal axes)
Unique sites:
Cs: 0.0000 0.0000 0.1205
Ac: 0.0000 0.0000 0.5000
U: 0.0000 0.5000 0.0000
O: 0.0259 0.5129 0.1018
O: 0.0855 0.5428 0.3380

---

Question: VASP energy of number 2 (Cs2AcU3O12)?
Answer: -454.180 eV/cell

---

Question: Which of these has the lowest size of the total moment?
Answer: Cs2AcU3O12

---

Question: Which value of size of the total moment does entry 2 give?
Answer: 0.00 μB per cell